# PBE MgReOF2, relaxed
# E_form (uncorrected) = -1.029 eV per atom
# Total energy = -27.9 eV for the cell shown
# Space-group type = P4/mmm (123)
# Offset from the most stable computed form = 11.10 kJ per mole of atoms
# Crystal system = tetragonal
data_MgReOF2
_chemical_formula_sum 'Mg1 Re1 O1 F2'
_space_group_name_H-M_alt 'P 1'
_space_group_IT_number 1
_cell_length_a 4.362
_cell_length_b 4.362
_cell_length_c 3.788
_cell_angle_alpha 90.00
_cell_angle_beta 90.00
_cell_angle_gamma 90.00
loop_
_space_group_symop_operation_xyz
'x,y,z'
loop_
_atom_site_label
_atom_site_type_symbol
_atom_site_fract_x
_atom_site_fract_y
_atom_site_fract_z
_atom_site_occupancy
Mg1 Mg 0.000 0.000 0.000 1
Re1 Re 0.500 0.500 0.500 1
O1 O 0.500 0.500 0.000 1
F1 F 0.000 0.500 0.500 1
F2 F 0.500 0.000 0.500 1

=====

# PBE SrYAl, relaxed
# Energy of formation from the pure elements = -9.02 kJ/mol of atoms
# Total energy = -24.3 eV for the cell shown
# Space-group type = Cmmm (65)
# Offset from the most stable computed form = 11.39 kJ per mole of atoms
# Crystal system = orthorhombic
data_SrYAl
_chemical_formula_sum 'Sr2 Y2 Al2'
_space_group_name_H-M_alt 'P 1'
_space_group_IT_number 1
_cell_length_a 7.190
_cell_length_b 7.190
_cell_length_c 5.343
_cell_angle_alpha 90.00
_cell_angle_beta 90.00
_cell_angle_gamma 136.07
loop_
_space_group_symop_operation_xyz
'x,y,z'
loop_
_atom_site_label
_atom_site_type_symbol
_atom_site_fract_x
_atom_site_fract_y
_atom_site_fract_z
_atom_site_occupancy
Sr1 Sr 0.148 0.852 0.000 1
Sr2 Sr 0.852 0.148 0.000 1
Y1 Y 0.376 0.624 0.500 1
Y2 Y 0.624 0.376 0.500 1
Al1 Al 0.000 0.000 0.500 1
Al2 Al 0.500 0.500 0.000 1

=====

# PBE SrSc2Bi2, relaxed
# Energy of formation from the pure elements = -48.03 kJ/mol of atoms
# Total energy = -49.2 eV for the cell shown
# Space-group type = P4/mbm (127)
# Offset from the most stable computed form = 9.41 kJ per mole of atoms
# Crystal system = tetragonal
data_SrSc2Bi2
_chemical_formula_sum 'Sr2 Sc4 Bi4'
_space_group_name_H-M_alt 'P 1'
_space_group_IT_number 1
_cell_length_a 8.616
_cell_length_b 8.616
_cell_length_c 3.968
_cell_angle_alpha 90.00
_cell_angle_beta 90.00
_cell_angle_gamma 90.00
loop_
_space_group_symop_operation_xyz
'x,y,z'
loop_
_atom_site_label
_atom_site_type_symbol
_atom_site_fract_x
_atom_site_fract_y
_atom_site_fract_z
_atom_site_occupancy
Sr1 Sr 0.000 0.000 0.000 1
Sr2 Sr 0.500 0.500 0.000 1
Sc1 Sc 0.137 0.363 0.500 1
Sc2 Sc 0.363 0.863 0.500 1
Sc3 Sc 0.637 0.137 0.500 1
Sc4 Sc 0.863 0.637 0.500 1
Bi1 Bi 0.152 0.652 0.000 1
Bi2 Bi 0.348 0.152 0.000 1
Bi3 Bi 0.652 0.848 0.000 1
Bi4 Bi 0.848 0.348 0.000 1

=====

# PBE CaOsPt2, relaxed
# Energy of formation from the pure elements = 24.09 kJ/mol of atoms
# Total energy = -24.3 eV for the cell shown
# Space-group type = R3m (160)
# Offset from the most stable computed form = 40.02 kJ per mole of atoms
# Crystal system = trigonal
data_CaOsPt2
_chemical_formula_sum 'Ca1 Os1 Pt2'
_space_group_name_H-M_alt 'P 1'
_space_group_IT_number 1
_cell_length_a 9.594
_cell_length_b 9.594
_cell_length_c 9.594
_cell_angle_alpha 17.27
_cell_angle_beta 17.27
_cell_angle_gamma 17.27
loop_
_space_group_symop_operation_xyz
'x,y,z'
loop_
_atom_site_label
_atom_site_type_symbol
_atom_site_fract_x
_atom_site_fract_y
_atom_site_fract_z
_atom_site_occupancy
Ca1 Ca 0.000 0.000 0.000 1
Os1 Os 0.244 0.244 0.244 1
Pt1 Pt 0.501 0.501 0.501 1
Pt2 Pt 0.752 0.752 0.752 1

=====

# PBE Tm4Co2Hg5, relaxed
# Energy of formation from the pure elements = -35.02 kJ/mol of atoms
# Total energy = -37.6 eV for the cell shown
# Space-group type = P2/m (10)
# Crystal system = monoclinic
data_Tm4Co2Hg5
_chemical_formula_sum 'Tm4 Co2 Hg5'
_space_group_name_H-M_alt 'P 1'
_space_group_IT_number 1
_cell_length_a 7.511
_cell_length_b 3.551
_cell_length_c 9.218
_cell_angle_alpha 90.00
_cell_angle_beta 94.51
_cell_angle_gamma 90.00
loop_
_space_group_symop_operation_xyz
'x,y,z'
loop_
_atom_site_label
_atom_site_type_symbol
_atom_site_fract_x
_atom_site_fract_y
_atom_site_fract_z
_atom_site_occupancy
Tm1 Tm 0.178 0.000 0.332 1
Tm2 Tm 0.216 0.000 0.933 1
Tm3 Tm 0.784 0.000 0.067 1
Tm4 Tm 0.822 0.000 0.668 1
Co1 Co 0.063 0.500 0.124 1
Co2 Co 0.937 0.500 0.876 1
Hg1 Hg 0.159 0.500 0.639 1
Hg2 Hg 0.445 0.500 0.164 1
Hg3 Hg 0.500 0.500 0.500 1
Hg4 Hg 0.555 0.500 0.836 1
Hg5 Hg 0.841 0.500 0.361 1

=====

# PBE Zn2Au, relaxed
# Energy of formation from the pure elements = -12.93 kJ/mol of atoms
# Total energy = -49.8 eV for the cell shown
# Space-group type = Fd-3m (227)
# Crystal system = cubic
data_Zn2Au
_chemical_formula_sum 'Zn16 Au8'
_space_group_name_H-M_alt 'P 1'
_space_group_IT_number 1
_cell_length_a 8.333
_cell_length_b 8.333
_cell_length_c 8.333
_cell_angle_alpha 60.00
_cell_angle_beta 60.00
_cell_angle_gamma 60.00
loop_
_space_group_symop_operation_xyz
'x,y,z'
loop_
_atom_site_label
_atom_site_type_symbol
_atom_site_fract_x
_atom_site_fract_y
_atom_site_fract_z
_atom_site_occupancy
Zn1 Zn 0.000 0.000 0.000 1
Zn2 Zn 0.000 0.000 0.500 1
Zn3 Zn 0.000 0.500 0.000 1
Zn4 Zn 0.179 0.179 0.571 1
Zn5 Zn 0.179 0.571 0.179 1
Zn6 Zn 0.179 0.571 0.571 1
Zn7 Zn 0.429 0.429 0.821 1
Zn8 Zn 0.429 0.821 0.429 1
Zn9 Zn 0.429 0.821 0.821 1
Zn10 Zn 0.500 0.000 0.000 1
Zn11 Zn 0.571 0.179 0.179 1
Zn12 Zn 0.571 0.179 0.571 1
Zn13 Zn 0.571 0.571 0.179 1
Zn14 Zn 0.821 0.429 0.429 1
Zn15 Zn 0.821 0.429 0.821 1
Zn16 Zn 0.821 0.821 0.429 1
Au1 Au 0.168 0.777 0.777 1
Au2 Au 0.223 0.223 0.223 1
Au3 Au 0.223 0.223 0.832 1
Au4 Au 0.223 0.832 0.223 1
Au5 Au 0.777 0.168 0.777 1
Au6 Au 0.777 0.777 0.168 1
Au7 Au 0.777 0.777 0.777 1
Au8 Au 0.832 0.223 0.223 1

=====

# PBE Sr2ZrHg, relaxed
# Energy of formation from the pure elements = 22.42 kJ/mol of atoms
# Total energy = -11.3 eV for the cell shown
# Space-group type = R-3m (166)
# Crystal system = trigonal
data_Sr2ZrHg
_chemical_formula_sum 'Sr2 Zr1 Hg1'
_space_group_name_H-M_alt 'P 1'
_space_group_IT_number 1
_cell_length_a 11.206
_cell_length_b 11.206
_cell_length_c 11.206
_cell_angle_alpha 19.16
_cell_angle_beta 19.16
_cell_angle_gamma 19.16
loop_
_space_group_symop_operation_xyz
'x,y,z'
loop_
_atom_site_label
_atom_site_type_symbol
_atom_site_fract_x
_atom_site_fract_y
_atom_site_fract_z
_atom_site_occupancy
Sr1 Sr 0.247 0.247 0.247 1
Sr2 Sr 0.753 0.753 0.753 1
Zr1 Zr 0.000 0.000 0.000 1
Hg1 Hg 0.500 0.500 0.500 1

=====

# PBE NaU2Cl6, relaxed
# E_form (uncorrected) = -1.529 eV per atom
# Total energy = -48.7 eV for the cell shown
# Space-group type = P-3 (147)
# Offset from the most stable computed form = 1.76 kJ per mole of atoms
# Crystal system = trigonal
data_NaU2Cl6
_chemical_formula_sum 'Na1 U2 Cl6'
_space_group_name_H-M_alt 'P 1'
_space_group_IT_number 1
_cell_length_a 7.863
_cell_length_b 7.863
_cell_length_c 3.971
_cell_angle_alpha 90.00
_cell_angle_beta 90.00
_cell_angle_gamma 120.00
loop_
_space_group_symop_operation_xyz
'x,y,z'
loop_
_atom_site_label
_atom_site_type_symbol
_atom_site_fract_x
_atom_site_fract_y
_atom_site_fract_z
_atom_site_occupancy
Na1 Na 0.000 0.000 0.000 1
U1 U 0.333 0.667 0.742 1
U2 U 0.667 0.333 0.258 1
Cl1 Cl 0.079 0.697 0.248 1
Cl2 Cl 0.303 0.381 0.248 1
Cl3 Cl 0.381 0.079 0.752 1
Cl4 Cl 0.619 0.921 0.248 1
Cl5 Cl 0.697 0.619 0.752 1
Cl6 Cl 0.921 0.303 0.752 1

=====

# PBE ZrTiNbCu, relaxed
# Energy of formation from the pure elements = 4.52 kJ/mol of atoms
# Total energy = -30.4 eV for the cell shown
# Space-group type = F-43m (216)
# Offset from the most stable computed form = 4.64 kJ per mole of atoms
# Crystal system = cubic
data_ZrTiNbCu
_chemical_formula_sum 'Zr1 Ti1 Nb1 Cu1'
_space_group_name_H-M_alt 'P 1'
_space_group_IT_number 1
_cell_length_a 4.618
_cell_length_b 4.618
_cell_length_c 4.618
_cell_angle_alpha 60.00
_cell_angle_beta 60.00
_cell_angle_gamma 60.00
loop_
_space_group_symop_operation_xyz
'x,y,z'
loop_
_atom_site_label
_atom_site_type_symbol
_atom_site_fract_x
_atom_site_fract_y
_atom_site_fract_z
_atom_site_occupancy
Zr1 Zr 0.000 0.000 0.000 1
Ti1 Ti 0.500 0.500 0.500 1
Nb1 Nb 0.750 0.750 0.750 1
Cu1 Cu 0.250 0.250 0.250 1

=====

# PBE CsSrSmF6, relaxed
# E_form (uncorrected) = -3.690 eV per atom
# Total energy = -103.4 eV for the cell shown
# Space-group type = Imma (74)
# Crystal system = orthorhombic
data_CsSrSmF6
_chemical_formula_sum 'Cs2 Sr2 Sm2 F12'
_space_group_name_H-M_alt 'P 1'
_space_group_IT_number 1
_cell_length_a 8.725
_cell_length_b 8.725
_cell_length_c 8.725
_cell_angle_alpha 121.61
_cell_angle_beta 120.17
_cell_angle_gamma 88.47
loop_
_space_group_symop_operation_xyz
'x,y,z'
loop_
_atom_site_label
_atom_site_type_symbol
_atom_site_fract_x
_atom_site_fract_y
_atom_site_fract_z
_atom_site_occupancy
Cs1 Cs 0.315 0.065 0.250 1
Cs2 Cs 0.685 0.935 0.750 1
Sr1 Sr 0.000 0.000 0.500 1
Sr2 Sr 0.000 0.500 0.000 1
Sm1 Sm 0.000 0.500 0.500 1
Sm2 Sm 0.500 0.500 0.000 1
F1 F 0.065 0.426 0.256 1
F2 F 0.065 0.809 0.639 1
F3 F 0.086 0.836 0.250 1
F4 F 0.303 0.553 0.750 1
F5 F 0.330 0.191 0.756 1
F6 F 0.330 0.574 0.139 1
F7 F 0.670 0.426 0.861 1
F8 F 0.670 0.809 0.244 1
F9 F 0.697 0.447 0.250 1
F10 F 0.914 0.164 0.750 1
F11 F 0.935 0.191 0.361 1
F12 F 0.935 0.574 0.744 1

=====

Question: Which of these has the lowest total energy?
Answer: CsSrSmF6

=====

Question: Number 4 is which compound?
Answer: CaOsPt2